A relaxed TbDy2Os crystal. Source: Alexandria via LeMat-Bulk, functional GGA-PBE.

Values from the calculation:
**Symmetry**: P4/mmm
**Excess energy over the best structure of this formula in the dataset**: 145 meV per atom
**ΔH_f (0 K)**: -2.5 kcal/mol of atoms

Geometry as extended XYZ:
```
4
Lattice="3.397 0.000 0.000 0.000 3.397 0.000 0.000 0.000 9.254" Properties=species:S:1:pos:R:3 pbc="T T T"
Tb 1.699 1.699 4.627
Os 1.699 1.699 0.000
Dy 0.000 0.000 7.589
Dy 0.000 0.000 1.664
```